SiAsH | PBE | relaxed

Cell lengths 5.3777, 3.6690, 5.9785 Å; angles 90.00, 105.05, 90.00 degrees
Positions (direct):
Si 0.0000 0.0000 0.0000
Si 0.1588 0.5000 0.5359
As 0.2678 0.5000 0.9531
As 0.8897 0.0000 0.3650
H 0.4156 0.5000 0.4807
H 0.7444 0.0000 0.8228

Values from the calculation:
Volume ... 114 Å³ per cell
Calculated total energy ... -27.0 eV for the cell shown
Density ... 3.03 g/cm3